No. 1
The following is a GGA-PBEsol calculation of an optimized crystal structure of Y3Mg, from Alexandria via LeMat-Bulk.

Cell lengths 4.860, 4.860, 4.860 Å; angles 90.00, 90.00, 90.00 degrees
Space group Pm-3m (No. 221)
Asymmetric unit:
1 Y 0.000 0.000 0.500 [3 per cell]
2 Mg 0.500 0.500 0.500 [1 per cell]

- V: 114.8 Å³ per cell
- M_tot: 0.00 μB per formula unit
- Theoretical density: 4.21 Mg/m³
- DFT formation energy: 0.07 eV per formula unit

=====

No. 2
The following is a GGA-PBEsol calculation of an optimized crystal structure of Y3Mg, from Alexandria via LeMat-Bulk.

Cell lengths 3.784, 5.380, 11.326 Å; angles 90.00, 90.00, 90.00 degrees
Space group Immm (No. 71)
Asymmetric unit:
1 Y 0.000 0.000 0.000 [2 per cell]
2 Y 0.000 0.500 0.227 [4 per cell]
3 Mg 0.000 0.000 0.500 [2 per cell]

- V: 230.6 Å³ per cell
- M_tot: 0.00 μB per formula unit
- Theoretical density: 4.19 Mg/m³
- DFT formation energy: -0.12 eV per formula unit